Crystalline LaAlAsSe2 at its relaxed geometry. Source: Alexandria via LeMat-Bulk, functional PBE.

Properties
Formation energy (no corrections): -0.81 eV per atom
Mass density: 5.5 g cm⁻³
Offset from the most stable computed form: 0 meV/atom

The structure in POSCAR format:
```
LaAlAsSe2
1.0
-4.132 -1.391 -2.434
-2.361 -0.610 4.357
-1.464 4.611 -0.148
Se La Al As
2 1 1 1
Cartesian
-1.181 -0.305 2.178
-2.066 -0.695 -1.217
-3.979 1.305 0.887
0.000 0.000 0.000
-0.732 2.305 -0.074
```

---

Crystalline NbSb2H at its relaxed geometry. Source: Alexandria via LeMat-Bulk, functional PBE.

Properties
Mass density: 7.9 g cm⁻³
Offset from the most stable computed form: 0 meV/atom

The structure in POSCAR format:
```
NbSb2H
1.0
6.552 0.000 0.000
0.000 6.552 0.000
3.276 3.276 3.325
H Sb Nb
2 4 2
Cartesian
3.276 3.276 0.000
3.276 6.552 1.663
4.362 1.638 0.831
8.190 7.638 2.494
2.190 4.914 0.831
4.914 5.465 2.494
6.552 3.276 1.663
0.000 0.000 0.000
```

---

Crystalline Sr2Ga2Sn at its relaxed geometry. Source: Alexandria via LeMat-Bulk, functional PBE.

Properties
Mass density: 4.8 g cm⁻³
Offset from the most stable computed form: 117 meV/atom

The structure in POSCAR format:
```
Sr2Ga2Sn
1.0
-3.457 1.702 -0.003
-0.629 -1.271 3.583
2.109 8.657 5.515
Ga Sn Sr
2 1 2
Cartesian
-0.282 3.801 5.443
-1.696 5.287 3.651
0.000 0.000 0.000
-1.157 2.017 2.585
-0.821 7.070 6.509
```

---

Crystalline AlZnPt2 at its relaxed geometry. Source: Alexandria via LeMat-Bulk, functional PBE.

Properties
Mass density: 13.7 g cm⁻³
VASP energy: -20.2 eV for the cell shown

The structure in POSCAR format:
```
AlZnPt2
1.0
-3.691 1.829 -1.984
-1.738 -1.903 3.776
0.440 2.442 1.433
Zn Pt Al
1 2 1
Cartesian
-1.625 2.136 -0.275
-2.714 -0.037 0.896
0.000 0.000 0.000
-0.649 0.269 2.605
```

---

Crystalline Ti3CrCd at its relaxed geometry. Source: Alexandria via LeMat-Bulk, functional PBE.

Properties
Mass density: 5.4 g cm⁻³
Offset from the most stable computed form: 0 meV/atom

The structure in POSCAR format:
```
Ti3CrCd
1.0
4.572 0.000 0.000
0.000 4.572 0.000
0.000 0.000 4.572
Ti Cd Cr
3 1 1
Cartesian
0.000 0.000 2.286
2.286 0.000 0.000
0.000 2.286 0.000
2.286 2.286 2.286
0.000 0.000 0.000
```

---

Crystalline Sc2AlCu2Ni5 at its relaxed geometry. Source: Alexandria via LeMat-Bulk, functional PBE.

Properties
Mass density: 6.6 g cm⁻³
VASP energy: -114.1 eV for the cell shown

The structure in POSCAR format:
```
Sc2AlCu2Ni5
1.0
3.617 0.000 0.000
0.000 8.648 0.000
0.000 0.000 8.648
Al Ni Sc Cu
2 10 4 4
Cartesian
0.000 4.324 4.324
0.000 0.000 0.000
1.809 1.745 0.571
1.809 6.069 3.753
1.809 4.895 6.069
1.809 0.000 4.324
1.809 0.571 6.903
1.809 6.903 8.077
1.809 3.753 2.579
1.809 2.579 4.895
1.809 4.324 0.000
1.809 8.077 1.745
0.000 5.842 1.518
0.000 7.131 5.842
0.000 1.518 2.807
0.000 2.807 7.131
0.000 5.376 7.596
0.000 1.052 5.376
0.000 7.596 3.272
0.000 3.272 1.052
```

---

Crystalline LiEr2Pd8 at its relaxed geometry. Source: Alexandria via LeMat-Bulk, functional PBE.

Properties
Mass density: 10.6 g cm⁻³
VASP energy: -59.2 eV for the cell shown

The structure in POSCAR format:
```
LiEr2Pd8
1.0
4.364 0.000 0.000
0.000 6.050 0.341
-2.182 -2.202 6.923
Er Pd Li
2 8 1
Cartesian
0.000 3.173 3.122
2.182 0.675 4.142
2.182 3.426 5.059
2.182 2.176 1.460
0.000 -0.929 4.846
2.182 4.778 2.417
0.000 0.422 2.205
0.000 1.672 5.803
2.182 -0.482 6.662
0.000 4.330 0.601
2.182 0.000 0.000
```

---

Crystalline CrCdMo at its relaxed geometry. Source: Alexandria via LeMat-Bulk, functional PBE.

Properties
Mass density: 8.8 g cm⁻³
Offset from the most stable computed form: 0 meV/atom

The structure in POSCAR format:
```
CrCdMo
1.0
5.426 0.001 0.000
3.588 4.070 0.000
-4.507 -2.036 2.233
Mo Cr Cd
1 1 1
Cartesian
6.279 2.836 0.000
2.770 1.251 0.000
8.978 4.055 0.000
```

---

Crystalline K12Hg3Br5 at its relaxed geometry. Source: Alexandria via LeMat-Bulk, functional PBE.

Properties
Formation energy (no corrections): -0.82 eV per atom
Mass density: 2.4 g cm⁻³

The structure in POSCAR format:
```
K12Hg3Br5
1.0
17.478 0.000 0.000
-5.826 16.479 0.000
-5.826 -8.239 14.271
K Br Hg
48 20 12
Cartesian
8.893 4.487 5.285
2.257 2.141 13.050
6.482 -2.141 13.050
12.308 8.252 2.465
3.678 1.996 4.670
7.473 12.722 4.064
3.569 10.368 1.244
-5.980 11.991 5.285
3.067 -2.701 8.379
0.765 10.235 9.601
-1.647 -4.483 10.207
2.257 -2.128 13.027
2.759 10.940 5.892
3.569 6.098 1.221
-0.656 6.111 1.244
6.482 2.128 13.027
8.893 14.692 0.607
-0.656 10.381 1.221
10.888 0.923 6.529
5.672 2.701 8.379
2.148 6.243 9.601
-5.672 6.453 13.664
8.083 8.226 2.465
-7.092 4.483 10.207
0.154 5.538 5.892
10.386 -5.761 12.420
-6.482 -0.013 11.806
7.092 -1.278 8.357
12.919 3.756 4.064
-5.061 7.316 7.742
-1.266 9.517 5.914
6.591 7.166 11.199
9.504 -1.073 3.072
-2.148 -0.923 6.529
7.473 2.479 1.850
-3.678 9.312 11.199
11.806 -3.752 8.986
5.061 -1.996 4.670
-0.765 1.073 3.072
-4.560 14.000 1.850
-3.067 3.752 8.986
-2.257 0.013 11.806
7.975 9.162 7.742
1.647 1.278 8.357
-1.647 5.761 12.420
-3.067 -6.453 13.664
4.179 6.961 5.914
11.498 1.786 0.607
1.457 5.150 12.487
7.283 4.120 10.703
5.826 -4.120 7.135
2.913 4.120 7.135
5.826 8.239 0.000
1.457 -4.120 10.703
7.283 -5.150 12.487
-1.457 13.389 1.784
8.739 0.000 0.000
10.196 -1.030 8.919
7.283 7.209 5.352
4.370 3.090 1.784
-1.457 4.120 3.568
4.370 12.359 3.568
-2.913 8.239 0.000
0.000 0.000 0.000
-2.913 -4.120 7.135
-4.370 9.269 5.352
-1.457 1.030 8.919
-5.826 4.120 7.135
13.109 0.000 3.568
10.196 11.329 1.784
1.457 -1.030 5.352
-7.283 8.239 10.703
-4.370 3.090 12.487
4.370 9.269 8.919
-4.370 -3.090 12.487
10.196 5.150 1.784
-1.457 7.209 8.919
4.370 0.000 10.703
7.283 1.030 5.352
1.457 8.239 3.568
```

---

Crystalline MgTi at its relaxed geometry. Source: Alexandria via LeMat-Bulk, functional PBE.

Properties
Mass density: 3.1 g cm⁻³
VASP energy: -27.8 eV for the cell shown

The structure in POSCAR format:
```
MgTi
1.0
1.493 -2.586 0.000
1.493 2.586 0.000
0.000 0.000 15.105
Ti Mg
3 3
Cartesian
1.493 -0.862 12.416
0.000 0.000 10.239
1.493 -0.862 2.493
0.000 0.000 15.011
0.000 0.000 5.020
1.493 -0.862 7.688
```

---

Crystalline CeSm2ErTm at its relaxed geometry. Source: Alexandria via LeMat-Bulk, functional PBE.

Properties
Mass density: 7.9 g cm⁻³
VASP energy: -45.9 eV for the cell shown

The structure in POSCAR format:
```
CeSm2ErTm
1.0
-4.101 6.638 2.327
0.150 -2.110 6.291
5.244 2.954 0.809
Er Sm Tm Ce
2 4 2 2
Cartesian
2.485 4.560 1.429
-1.192 2.922 7.997
0.128 1.237 5.558
0.096 2.258 2.582
1.164 6.244 3.867
1.197 5.224 6.844
-2.205 5.496 5.385
3.498 1.985 4.041
2.622 1.477 0.404
0.000 0.000 0.000
```

---

Crystalline Zr2GaN at its relaxed geometry. Source: Alexandria via LeMat-Bulk, functional PBE.

Properties
Formation energy (no corrections): 0.17 eV per atom
Mass density: 6.8 g cm⁻³

The structure in POSCAR format:
```
Zr2GaN
1.0
0.000 3.189 3.189
3.189 0.000 3.189
3.189 3.189 0.000
Zr Ga N
2 1 1
Cartesian
4.784 4.784 4.784
1.595 1.595 1.595
3.189 3.189 3.189
0.000 0.000 0.000
```

---

Repeat the sixth record exactly.
Crystalline Sc2AlCu2Ni5 at its relaxed geometry. Source: Alexandria via LeMat-Bulk, functional PBE.

Properties
Mass density: 6.6 g cm⁻³
VASP energy: -114.1 eV for the cell shown

The structure in POSCAR format:
```
Sc2AlCu2Ni5
1.0
3.617 0.000 0.000
0.000 8.648 0.000
0.000 0.000 8.648
Al Ni Sc Cu
2 10 4 4
Cartesian
0.000 4.324 4.324
0.000 0.000 0.000
1.809 1.745 0.571
1.809 6.069 3.753
1.809 4.895 6.069
1.809 0.000 4.324
1.809 0.571 6.903
1.809 6.903 8.077
1.809 3.753 2.579
1.809 2.579 4.895
1.809 4.324 0.000
1.809 8.077 1.745
0.000 5.842 1.518
0.000 7.131 5.842
0.000 1.518 2.807
0.000 2.807 7.131
0.000 5.376 7.596
0.000 1.052 5.376
0.000 7.596 3.272
0.000 3.272 1.052
```

---

Repeat the fourth record exactly.
Crystalline AlZnPt2 at its relaxed geometry. Source: Alexandria via LeMat-Bulk, functional PBE.

Properties
Mass density: 13.7 g cm⁻³
VASP energy: -20.2 eV for the cell shown

The structure in POSCAR format:
```
AlZnPt2
1.0
-3.691 1.829 -1.984
-1.738 -1.903 3.776
0.440 2.442 1.433
Zn Pt Al
1 2 1
Cartesian
-1.625 2.136 -0.275
-2.714 -0.037 0.896
0.000 0.000 0.000
-0.649 0.269 2.605
```

---

Number 5 is which compound?
Ti3CrCd

---

Number 4 is which compound?
AlZnPt2